{
  "formula": "BC",
  "functional": "GGA-PBE",
  "state": "optimized geometry",
  "e_tot_ev_per_atom": -7.61,
  "space_group": "P3m1",
  "magnetic_moment_mub_per_fu": 0.00,
  "lattice": [[2.700, 0.000, 0.000], [-1.350, 2.339, 0.000], [0.000, 0.000, 16.114]],
  "species": ["B", "B", "B", "B", "B", "B", "C", "C", "C", "C", "C", "C"],
  "frac_coords": [[0.000, 0.000, 0.000], [0.000, 0.000, 0.118], [0.333, 0.667, 0.361], [0.333, 0.667, 0.622], [0.333, 0.667, 0.855], [0.667, 0.333, 0.473], [0.000, 0.000, 0.514], [0.000, 0.000, 0.611], [0.333, 0.667, 0.122], [0.667, 0.333, 0.371], [0.667, 0.333, 0.866], [0.667, 0.333, 0.964]]
}

***

{
  "formula": "BC",
  "functional": "GGA-PBE",
  "state": "optimized geometry",
  "e_tot_ev_per_atom": -7.59,
  "space_group": "Cm",
  "magnetic_moment_mub_per_fu": 0.00,
  "lattice": [[4.451, -1.337, 0.000], [4.451, 1.337, 0.000], [-2.820, 0.000, 6.897]],
  "species": ["B", "B", "B", "B", "B", "B", "C", "C", "C", "C", "C", "C"],
  "frac_coords": [[0.000, 0.000, 0.000], [0.182, 0.182, 0.745], [0.230, 0.230, 0.297], [0.391, 0.391, 0.737], [0.519, 0.519, 0.413], [0.849, 0.849, 0.559], [0.028, 0.028, 0.554], [0.360, 0.360, 0.197], [0.546, 0.546, 0.925], [0.689, 0.689, 0.371], [0.705, 0.705, 0.885], [0.856, 0.856, 0.081]]
}

***

{
  "formula": "B7C5",
  "functional": "GGA-PBE",
  "state": "optimized geometry",
  "e_tot_ev_per_atom": -7.30,
  "space_group": "Cm",
  "magnetic_moment_mub_per_fu": 0.00,
  "lattice": [[6.782, -1.324, 0.000], [6.782, 1.324, 0.000], [-0.675, 0.000, 4.440]],
  "species": ["B", "B", "B", "B", "B", "B", "B", "C", "C", "C", "C", "C"],
  "frac_coords": [[0.000, 0.000, 0.000], [0.020, 0.020, 0.463], [0.319, 0.319, 0.078], [0.350, 0.350, 0.656], [0.429, 0.429, 0.376], [0.667, 0.667, 0.276], [0.762, 0.762, 0.659], [0.099, 0.099, 0.778], [0.106, 0.106, 0.258], [0.433, 0.433, 0.979], [0.660, 0.660, 0.798], [0.755, 0.755, 0.063]]
}

***

Result set for density of states at the Fermi level: 0.512, 0.389, 0.660 states/eV/f.u., one per record in the order listed.